# 1
Entry from Alexandria: Pm6NdHo4 after structural relaxation (PBE).

Properties
energy above the most stable polymorph in this dataset = 0.000 eV/atom
DOS(E_F) = 1.76 states/eV per atom

a = 5.8641 Å, b = 5.6612 Å, c = 25.8624 Å
α = 90.00°, β = 90.00°, γ = 121.19°
Closest atoms and distances in Å follow each position.
Sites, in units of the cell vectors:
1 Pm 0.5000 0.0000 0.5000  8 Ho 3.22-3.58
2 Pm 0.8795 0.7590 0.6810  4 Ho 3.56-3.66, 5 Pm 3.57-3.82, 3 Nd 3.70-3.79
3 Pm 0.2022 0.4044 0.5999  7 Ho 3.36-3.74
4 Pm 0.5526 0.1051 0.7500  2 Ho 3.28, 3 Nd 3.28-3.32, 2 Pm 3.64
5 Pm 0.7978 0.5956 0.0999  7 Ho 3.36-3.74
6 Pm 0.7978 0.5956 0.4001  7 Ho 3.36-3.74
7 Pm 0.8795 0.7590 0.8190  4 Ho 3.56-3.66, 5 Pm 3.57-3.82, 3 Nd 3.70-3.79
8 Pm 0.1205 0.2410 0.1810  4 Ho 3.56-3.66, 5 Pm 3.57-3.82, 3 Nd 3.70-3.79
9 Pm 0.2022 0.4044 0.9001  7 Ho 3.36-3.74
10 Pm 0.4474 0.8949 0.2500  2 Ho 3.28, 3 Nd 3.28-3.32, 2 Pm 3.64
11 Pm 0.5000 0.0000 0.0000  8 Ho 3.22-3.58
12 Pm 0.1205 0.2410 0.3190  4 Ho 3.56-3.66, 5 Pm 3.57-3.82, 3 Nd 3.70-3.79
13 Ho 0.4543 0.9085 0.3768  6 Pm 3.22-3.56, 1 Ho 3.60
14 Ho 0.5457 0.0915 0.8768  6 Pm 3.22-3.56, 1 Ho 3.60
15 Ho 0.4543 0.9085 0.1232  6 Pm 3.22-3.56, 1 Ho 3.60
16 Ho 0.5457 0.0915 0.6232  6 Pm 3.22-3.56, 1 Ho 3.60
17 Ho 0.8507 0.7013 0.5435  8 Pm 3.46-3.74, 2 Ho 3.60-3.66
18 Ho 0.8507 0.7013 0.9565  8 Pm 3.46-3.74, 2 Ho 3.60-3.66
19 Ho 0.1493 0.2987 0.4565  8 Pm 3.46-3.74, 2 Ho 3.60-3.66
20 Ho 0.1493 0.2987 0.0435  8 Pm 3.46-3.74, 2 Ho 3.60-3.66
21 Nd 0.7864 0.5728 0.2500  3 Pm 3.28-3.32
22 Nd 0.2136 0.4272 0.7500  3 Pm 3.28-3.32

***

# 2
Entry from Alexandria: Pm2Nd3Ho2 after structural relaxation (PBE).

Properties
energy above the most stable polymorph in this dataset = 0.101 eV/atom
DOS(E_F) = 1.54 states/eV per atom

a = 3.5462 Å, b = 8.6592 Å, c = 9.0613 Å
α = 118.32°, β = 101.28°, γ = 90.00°
Closest atoms and distances in Å follow each position.
Sites, in units of the cell vectors:
1 Ho 0.1472 0.3309 0.2945  4 Ho 3.55-3.84, 4 Nd 3.56-3.64, 4 Pm 3.65-3.75
2 Ho 0.8528 0.6691 0.7055  4 Ho 3.55-3.84, 4 Nd 3.56-3.64, 4 Pm 3.65-3.75
3 Nd 0.0000 0.5000 0.0000  4 Nd 3.39-3.55, 2 Ho 3.56, 4 Pm 3.63
4 Nd 0.7872 0.2032 0.5744  5 Nd 3.39-3.57, 3 Pm 3.51-3.68, 3 Ho 3.62-3.64
5 Nd 0.2128 0.7968 0.4256  5 Nd 3.39-3.57, 3 Pm 3.51-3.68, 3 Ho 3.62-3.64
6 Pm 0.5648 0.9115 0.1295  3 Pm 3.33-3.55, 5 Nd 3.51-3.68, 2 Ho 3.65
7 Pm 0.4352 0.0885 0.8705  3 Pm 3.33-3.55, 5 Nd 3.51-3.68, 2 Ho 3.65

***

# 3
Entry from Alexandria: Pm7Nd3Ho after structural relaxation (PBE).

Properties
energy above the most stable polymorph in this dataset = 0.000 eV/atom
DOS(E_F) = 1.41 states/eV per atom

a = 6.5109 Å, b = 7.8138 Å, c = 7.8173 Å
α = 82.01°, β = 86.43°, γ = 86.46°
Closest atoms and distances in Å follow each position.
Sites, in units of the cell vectors:
1 Pm 0.7859 0.2402 0.2402  5 Pm 3.38-3.58, 1 Ho 3.45, 3 Nd 3.52-3.53
2 Pm 0.7385 0.9149 0.5712  6 Pm 3.38-3.78, 3 Nd 3.59-3.73
3 Pm 0.2615 0.4288 0.0851  6 Pm 3.38-3.78, 3 Nd 3.59-3.73
4 Pm 0.7385 0.5712 0.9149  6 Pm 3.38-3.78, 3 Nd 3.59-3.73
5 Pm 0.2615 0.0851 0.4288  6 Pm 3.38-3.78, 3 Nd 3.59-3.73
6 Pm 0.2141 0.7598 0.7598  5 Pm 3.38-3.58, 1 Ho 3.45, 3 Nd 3.52-3.53
7 Pm 0.0000 0.5000 0.5000  2 Ho 3.26, 2 Nd 3.36, 2 Pm 3.47
8 Nd 0.0000 0.8278 0.1722  7 Pm 3.36-3.60, 3 Nd 3.53-3.70
9 Nd 0.0000 0.1722 0.8278  7 Pm 3.36-3.60, 3 Nd 3.53-3.70
10 Nd 0.5000 0.0000 0.0000  6 Pm 3.52-3.73, 4 Nd 3.70
11 Ho 0.5000 0.5000 0.5000  4 Pm 3.26-3.45

***

# 4
Entry from Alexandria: Pm4Nd6Ho after structural relaxation (PBE).

Properties
E_tot = -4.47 eV/atom
DOS(E_F) = 1.63 states/eV per atom

a = 9.9247 Å, b = 9.9247 Å, c = 9.9247 Å
α = 57.07°, β = 140.51°, γ = 140.51°
Closest atoms and distances in Å follow each position.
Sites, in units of the cell vectors:
1 Nd 0.6446 0.1934 0.1934  3 Nd 3.34-3.37, 5 Pm 3.39-3.64
2 Nd 0.5000 0.5000 0.0000  4 Nd 3.34, 2 Ho 3.35
3 Nd 0.0000 0.8066 0.4512  3 Nd 3.34-3.37, 5 Pm 3.39-3.64
4 Nd 0.5000 0.0000 0.5000  4 Nd 3.34, 2 Ho 3.35
5 Nd 0.0000 0.4512 0.8066  3 Nd 3.34-3.37, 5 Pm 3.39-3.64
6 Nd 0.3554 0.5488 0.5488  3 Nd 3.34-3.37, 5 Pm 3.39-3.64
7 Pm 0.0000 0.0116 0.6350  5 Nd 3.39-3.64, 1 Ho 3.56, 1 Pm 3.57
8 Pm 0.3766 0.3650 0.3650  5 Nd 3.39-3.64, 1 Ho 3.56, 1 Pm 3.57
9 Pm 0.6234 0.9884 0.9884  5 Nd 3.39-3.64, 1 Ho 3.56, 1 Pm 3.57
10 Pm 0.0000 0.6350 0.0116  5 Nd 3.39-3.64, 1 Ho 3.56, 1 Pm 3.57
11 Ho 0.0000 0.0000 0.0000  4 Nd 3.35, 4 Pm 3.56

***

# 5
Entry from Alexandria: Pm2Nd9Ho after structural relaxation (PBE).

Properties
E_tot = -4.73 eV/atom
DOS(E_F) = 1.66 states/eV per atom

a = 5.1788 Å, b = 5.1788 Å, c = 15.5280 Å
α = 90.00°, β = 90.00°, γ = 90.00°
Closest atoms and distances in Å follow each position.
Sites, in units of the cell vectors:
1 Nd 0.0000 0.5000 0.5000  8 Nd 3.66-3.67, 4 Pm 3.67
2 Nd 0.5000 0.5000 0.0000  8 Nd 3.64, 4 Ho 3.66
3 Nd 0.5000 0.5000 0.3323  4 Pm 3.66, 8 Nd 3.67
4 Nd 0.5000 0.5000 0.6677  4 Pm 3.66, 8 Nd 3.67
5 Nd 0.5000 0.0000 0.1650  2 Ho 3.64, 8 Nd 3.64-3.67, 2 Pm 3.67
6 Nd 0.0000 0.5000 0.1650  2 Ho 3.64, 8 Nd 3.64-3.67, 2 Pm 3.67
7 Nd 0.5000 0.0000 0.8350  8 Nd 3.64-3.67, 2 Ho 3.64, 2 Pm 3.67
8 Nd 0.5000 0.0000 0.5000  8 Nd 3.66-3.67, 4 Pm 3.67
9 Nd 0.0000 0.5000 0.8350  2 Ho 3.64, 8 Nd 3.64-3.67, 2 Pm 3.67
10 Pm 0.0000 0.0000 0.6678  12 Nd 3.66-3.67
11 Pm 0.0000 0.0000 0.3322  12 Nd 3.66-3.67
12 Ho 0.0000 0.0000 0.0000  12 Nd 3.64-3.66

***

# 6
Entry from Alexandria: Pm2Nd4Ho after structural relaxation (PBE).

Properties
energy above the most stable polymorph in this dataset = 0.381 eV/atom
DOS(E_F) = 1.59 states/eV per atom

a = 6.0379 Å, b = 6.1780 Å, c = 7.2693 Å
α = 115.15°, β = 90.00°, γ = 90.00°
Closest atoms and distances in Å follow each position.
Sites, in units of the cell vectors:
1 Pm 0.5000 0.1093 0.2186  1 Pm 2.88, 4 Nd 3.11-3.21
2 Pm 0.5000 0.8907 0.7814  1 Pm 2.88, 4 Nd 3.11-3.21
3 Ho 0.0000 0.5000 0.0000  4 Nd 3.52
4 Nd 0.5000 0.3630 0.7260  3 Pm 3.11-3.34
5 Nd 0.5000 0.6370 0.2740  3 Pm 3.11-3.34
6 Nd 0.0000 0.8089 0.6177  2 Pm 3.21, 2 Nd 3.46
7 Nd 0.0000 0.1911 0.3823  2 Pm 3.21, 2 Nd 3.46

***

# 7
Entry from Alexandria: PmNdHo5 after structural relaxation (PBE).

Properties
energy above the most stable polymorph in this dataset = 0.904 eV/atom
DOS(E_F) = 1.43 states/eV per atom

a = 5.7548 Å, b = 7.8592 Å, c = 7.8592 Å
α = 66.68°, β = 68.52°, γ = 68.52°
Closest atoms and distances in Å follow each position.
Sites, in units of the cell vectors:
1 Nd 0.0000 0.0000 0.0000  6 Ho 2.99-3.27
2 Ho 0.5000 0.1793 0.8207  1 Pm 2.77, 1 Ho 3.10
3 Ho 0.2535 0.7465 0.7465  1 Pm 2.91, 1 Nd 2.99
4 Ho 0.0000 0.5000 0.5000  2 Pm 2.88
5 Ho 0.7465 0.2535 0.2535  1 Pm 2.91, 1 Nd 2.99
6 Ho 0.5000 0.8207 0.1793  1 Pm 2.77, 1 Ho 3.10
7 Pm 0.5000 0.5000 0.5000  6 Ho 2.77-2.91

***

# 8
Entry from Alexandria: PmNd2Ho9 after structural relaxation (PBE).

Properties
energy above the most stable polymorph in this dataset = 0.040 eV/atom
DOS(E_F) = 1.55 states/eV per atom

a = 3.5093 Å, b = 11.2680 Å, c = 11.2680 Å
α = 120.00°, β = 90.00°, γ = 90.00°
Closest atoms and distances in Å follow each position.
Sites, in units of the cell vectors:
1 Nd 0.0000 0.3333 0.6667  9 Ho 3.25-3.55, 2 Nd 3.51
2 Nd 0.0000 0.6667 0.3333  9 Ho 3.25-3.55, 2 Nd 3.51
3 Ho 0.5000 0.8247 0.1753  8 Ho 3.42-3.63, 2 Nd 3.55
4 Ho 0.5000 0.1753 0.3505  8 Ho 3.42-3.63, 2 Nd 3.55
5 Ho 0.5000 0.8247 0.6495  8 Ho 3.42-3.63, 2 Nd 3.55
6 Ho 0.5000 0.3505 0.1753  8 Ho 3.42-3.63, 2 Nd 3.55
7 Ho 0.5000 0.6495 0.8247  8 Ho 3.42-3.63, 2 Nd 3.55
8 Ho 0.0000 0.0000 0.5000  2 Nd 3.25, 10 Ho 3.51-3.63
9 Ho 0.0000 0.5000 0.0000  2 Nd 3.25, 10 Ho 3.51-3.63
10 Ho 0.5000 0.1753 0.8247  8 Ho 3.42-3.63, 2 Nd 3.55
11 Ho 0.0000 0.5000 0.5000  2 Nd 3.25, 10 Ho 3.51-3.63
12 Pm 0.0000 0.0000 0.0000  2 Pm 3.51, 12 Ho 3.84

***

# 9
Entry from Alexandria: PmNd2Ho3 after structural relaxation (PBE).

Properties
energy above the most stable polymorph in this dataset = 0.000 eV/atom
DOS(E_F) = 1.64 states/eV per atom

a = 5.5892 Å, b = 8.9585 Å, c = 10.1629 Å
α = 122.43°, β = 90.00°, γ = 108.18°
Closest atoms and distances in Å follow each position.
Sites, in units of the cell vectors:
1 Ho 0.3885 0.7770 0.3467  4 Ho 3.28-3.54, 3 Nd 3.35-3.40, 1 Pm 3.58
2 Ho 0.7052 0.4103 0.4221  4 Ho 3.15-3.51, 1 Nd 3.18
3 Ho 0.6115 0.2230 0.6533  4 Ho 3.28-3.54, 3 Nd 3.35-3.40, 1 Pm 3.58
4 Ho 0.9491 0.8981 0.6015  8 Ho 3.36-3.75, 2 Nd 3.57, 1 Pm 3.61
5 Ho 0.2948 0.5897 0.5779  4 Ho 3.15-3.51, 1 Nd 3.18
6 Ho 0.0509 0.1019 0.3985  8 Ho 3.36-3.75, 2 Nd 3.57, 1 Pm 3.61
7 Nd 0.7742 0.5484 0.1311  3 Ho 3.40-3.75, 3 Nd 3.62-3.66, 2 Pm 3.71
8 Nd 0.2258 0.4516 0.8689  3 Ho 3.40-3.75, 3 Nd 3.62-3.66, 2 Pm 3.71
9 Nd 0.4860 0.9721 0.1380  1 Nd 3.10, 2 Ho 3.18-3.35
10 Nd 0.5140 0.0279 0.8620  1 Nd 3.10, 2 Ho 3.18-3.35
11 Pm 0.1348 0.2696 0.1419  5 Ho 3.58-3.67, 7 Nd 3.68-3.87, 1 Pm 3.80
12 Pm 0.8652 0.7304 0.8581  5 Ho 3.58-3.67, 7 Nd 3.68-3.87, 1 Pm 3.80

***

# 10
Entry from Alexandria: Pm6NdHo2 after structural relaxation (PBE).

Properties
energy above the most stable polymorph in this dataset = 0.000 eV/atom
DOS(E_F) = 1.50 states/eV per atom

a = 3.6312 Å, b = 8.8807 Å, c = 13.0377 Å
α = 132.64°, β = 81.94°, γ = 90.09°
Closest atoms and distances in Å follow each position.
Sites, in units of the cell vectors:
1 Pm 0.8907 0.5548 0.2193  4 Ho 3.59-3.60, 7 Pm 3.61-3.67, 1 Nd 3.63
2 Pm 0.6668 0.6663 0.6671  2 Nd 3.62, 9 Pm 3.63-3.65, 1 Ho 3.65
3 Pm 0.3332 0.3337 0.3329  2 Nd 3.62, 9 Pm 3.63-3.65, 1 Ho 3.65
4 Pm 0.2216 0.8926 0.5579  10 Pm 3.61-3.67, 2 Ho 3.61
5 Pm 0.1093 0.4452 0.7807  4 Ho 3.59-3.60, 7 Pm 3.61-3.67, 1 Nd 3.63
6 Pm 0.7784 0.1074 0.4421  10 Pm 3.61-3.67, 2 Ho 3.61
7 Ho 0.4442 0.7764 0.1104  7 Pm 3.59-3.65, 3 Ho 3.62-3.63, 2 Nd 3.62-3.63
8 Ho 0.5558 0.2236 0.8896  7 Pm 3.59-3.65, 3 Ho 3.62-3.63, 2 Nd 3.62-3.63
9 Nd 0.0000 0.0000 0.0000  6 Pm 3.62-3.63, 4 Ho 3.62-3.63, 2 Nd 3.63

***

# 11
Entry from Alexandria: PmNd7Ho4 after structural relaxation (PBE).

Properties
energy above the most stable polymorph in this dataset = 0.000 eV/atom
DOS(E_F) = 1.28 states/eV per atom

a = 7.3095 Å, b = 6.3353 Å, c = 11.6016 Å
α = 79.54°, β = 50.96°, γ = 90.02°
Closest atoms and distances in Å follow each position.
Sites, in units of the cell vectors:
1 Nd 0.2551 0.4997 0.9981  3 Ho 3.59-3.62, 7 Nd 3.61-3.70, 2 Pm 3.66-3.67
2 Nd 0.6655 0.2224 0.3345  6 Nd 3.59-3.68, 5 Ho 3.60-3.67, 1 Pm 3.61
3 Nd 0.5000 0.0000 0.0000  4 Ho 3.59-3.61, 6 Nd 3.62-3.65, 2 Pm 3.65
4 Nd 0.7449 0.5003 0.0019  3 Ho 3.59-3.62, 7 Nd 3.61-3.70, 2 Pm 3.66-3.67
5 Nd 0.9162 0.7199 0.3356  6 Ho 3.57-3.70, 5 Nd 3.59-3.68, 1 Pm 3.63
6 Nd 0.0838 0.2801 0.6644  6 Ho 3.57-3.70, 5 Nd 3.59-3.68, 1 Pm 3.63
7 Nd 0.3345 0.7776 0.6655  6 Nd 3.59-3.68, 5 Ho 3.60-3.67, 1 Pm 3.61
8 Ho 0.5877 0.2779 0.6662  3 Ho 3.57-3.66, 8 Nd 3.58-3.70, 1 Pm 3.62
9 Ho 0.1646 0.2191 0.3356  4 Ho 3.55-3.66, 8 Nd 3.57-3.66
10 Ho 0.4123 0.7221 0.3338  3 Ho 3.57-3.66, 8 Nd 3.58-3.70, 1 Pm 3.62
11 Ho 0.8354 0.7809 0.6644  4 Ho 3.55-3.66, 8 Nd 3.57-3.66
12 Pm 0.0000 0.0000 0.0000  10 Nd 3.61-3.67, 2 Ho 3.62

***

# 12
Entry from Alexandria: Pm5Nd8Ho after structural relaxation (PBE).

Properties
E_tot = -4.51 eV/atom
DOS(E_F) = 1.48 states/eV per atom

a = 8.6440 Å, b = 8.6440 Å, c = 8.6440 Å
α = 110.73°, β = 106.98°, γ = 110.73°
Closest atoms and distances in Å follow each position.
Sites, in units of the cell vectors:
1 Nd 0.7327 0.2582 0.3363  5 Pm 3.43-3.66, 4 Nd 3.66-3.78
2 Nd 0.5634 0.9013 0.8301  4 Pm 3.21-3.59, 1 Ho 3.23
3 Nd 0.6637 0.3964 0.9219  5 Pm 3.43-3.66, 4 Nd 3.66-3.78
4 Nd 0.3379 0.2667 0.4366  4 Pm 3.21-3.59, 1 Ho 3.23
5 Nd 0.0781 0.7418 0.4745  5 Pm 3.43-3.66, 4 Nd 3.66-3.78
6 Nd 0.1699 0.7333 0.0712  4 Pm 3.21-3.59, 1 Ho 3.23
7 Nd 0.5255 0.6036 0.2673  5 Pm 3.43-3.66, 4 Nd 3.66-3.78
8 Nd 0.9288 0.0987 0.6621  4 Pm 3.21-3.59, 1 Ho 3.23
9 Pm 0.8680 0.8981 0.1823  8 Nd 3.41-3.67, 2 Pm 3.60
10 Pm 0.0301 0.3142 0.1320  8 Nd 3.41-3.67, 2 Pm 3.60
11 Pm 0.5000 0.0000 0.5000  8 Nd 3.21-3.43
12 Pm 0.2841 0.1019 0.9699  8 Nd 3.41-3.67, 2 Pm 3.60
13 Pm 0.8177 0.6858 0.7159  8 Nd 3.41-3.67, 2 Pm 3.60
14 Ho 0.2500 0.5000 0.7500  4 Nd 3.23